{
  "formula": "AcDyCr2O8",
  "functional": "PBE+U",
  "state": "optimized geometry",
  "lattice": [[-3.098, -1.501, -5.143], [0.713, -4.459, 4.233], [-3.324, 4.437, 2.751]],
  "species": ["Ac", "Dy", "Cr", "Cr", "O", "O", "O", "O", "O", "O", "O", "O"],
  "frac_coords": [[0.250, 0.750, 0.500], [0.000, 0.000, 0.000], [0.750, 0.250, 0.500], [0.500, 0.500, 0.000], [0.404, 0.090, 0.313], [0.321, 0.492, 0.171], [0.321, 0.150, 0.829], [0.777, 0.090, 0.687], [0.850, 0.679, 0.171], [0.910, 0.223, 0.313], [0.910, 0.596, 0.687], [0.508, 0.679, 0.829]],
  "energy_ev_per_atom": -7.5868
}